## DyErTm (PBE)

Data for a relaxed structure of DyErTm.

calculated formation energy = 720 meV per atom

The structure in CIF format:
```
data_DyErTm
_chemical_formula_sum 'Dy4 Er4 Tm4'
_symmetry_space_group_name_H-M 'F -4 3 m'
_symmetry_Int_Tables_number 216
_symmetry_space_group_name_Hall 'F -4 2 3'
_cell_length_a 7.568
_cell_length_b 7.568
_cell_length_c 7.568
_cell_angle_alpha 90.00
_cell_angle_beta 90.00
_cell_angle_gamma 90.00
loop_
_atom_site_label
_atom_site_fract_x
_atom_site_fract_y
_atom_site_fract_z
_atom_site_occupancy
Dy1 0.000 0.000 0.000 1
Er1 0.000 0.000 0.500 1
Tm1 0.250 0.250 0.250 1
```



## RbAlCuS3 (PBE)

Data for a relaxed structure of RbAlCuS3.

uncorrected energy = -25.6 eV per formula unit

The structure in CIF format:
```
data_RbAlCuS3
_chemical_formula_sum 'Rb2 Al2 Cu2 S6'
_symmetry_space_group_name_H-M 'P 1 21/m 1'
_symmetry_Int_Tables_number 11
_symmetry_space_group_name_Hall '-P 2yb'
_cell_length_a 8.636
_cell_length_b 3.546
_cell_length_c 9.706
_cell_angle_alpha 90.00
_cell_angle_beta 113.15
_cell_angle_gamma 90.00
loop_
_atom_site_label
_atom_site_fract_x
_atom_site_fract_y
_atom_site_fract_z
_atom_site_occupancy
Rb1 0.217 0.250 0.244 1
Al1 0.341 0.750 0.885 1
Cu1 0.086 0.250 0.603 1
S1 0.143 0.250 0.857 1
S2 0.203 0.750 0.533 1
S3 0.483 0.750 0.147 1
```



## FeCuReSi (PBE)

Data for a relaxed structure of FeCuReSi.

uncorrected energy = -29.6 eV per formula unit

The structure in CIF format:
```
data_FeCuReSi
_chemical_formula_sum 'Fe4 Cu4 Re4 Si4'
_symmetry_space_group_name_H-M 'F -4 3 m'
_symmetry_Int_Tables_number 216
_symmetry_space_group_name_Hall 'F -4 2 3'
_cell_length_a 5.857
_cell_length_b 5.857
_cell_length_c 5.857
_cell_angle_alpha 90.00
_cell_angle_beta 90.00
_cell_angle_gamma 90.00
loop_
_atom_site_label
_atom_site_fract_x
_atom_site_fract_y
_atom_site_fract_z
_atom_site_occupancy
Fe1 0.000 0.000 0.000 1
Cu1 0.250 0.250 0.750 1
Re1 0.250 0.250 0.250 1
Si1 0.000 0.000 0.500 1
```



## NaTaCl6 (PBE)

Data for a relaxed structure of NaTaCl6.

uncorrected energy = -36.0 eV per formula unit

The structure in CIF format:
```
data_NaTaCl6
_chemical_formula_sum 'Na4 Ta4 Cl24'
_symmetry_space_group_name_H-M 'P 1 21/c 1'
_symmetry_Int_Tables_number 14
_symmetry_space_group_name_Hall '-P 2ybc'
_cell_length_a 6.477
_cell_length_b 6.899
_cell_length_c 18.998
_cell_angle_alpha 90.00
_cell_angle_beta 90.91
_cell_angle_gamma 90.00
loop_
_atom_site_label
_atom_site_fract_x
_atom_site_fract_y
_atom_site_fract_z
_atom_site_occupancy
Na1 0.210 0.190 0.252 1
Ta1 0.257 0.716 0.614 1
Cl1 0.043 0.037 0.845 1
Cl2 0.078 0.004 0.655 1
Cl3 0.113 0.748 0.004 1
Cl4 0.379 0.687 0.738 1
Cl5 0.413 0.077 0.091 1
Cl6 0.452 0.102 0.409 1
```



## BaSmZr (PBE)

Data for a relaxed structure of BaSmZr.

uncorrected energy = -12.2 eV per formula unit

The structure in CIF format:
```
data_BaSmZr
_chemical_formula_sum 'Ba4 Sm4 Zr4'
_symmetry_space_group_name_H-M 'F -4 3 m'
_symmetry_Int_Tables_number 216
_symmetry_space_group_name_Hall 'F -4 2 3'
_cell_length_a 7.866
_cell_length_b 7.866
_cell_length_c 7.866
_cell_angle_alpha 90.00
_cell_angle_beta 90.00
_cell_angle_gamma 90.00
loop_
_atom_site_label
_atom_site_fract_x
_atom_site_fract_y
_atom_site_fract_z
_atom_site_occupancy
Ba1 0.000 0.000 0.000 1
Sm1 0.000 0.000 0.500 1
Zr1 0.250 0.250 0.250 1
```



## Rb2InIrO6 (PBE)

Data for a relaxed structure of Rb2InIrO6.

uncorrected energy = -53.7 eV per formula unit

The structure in CIF format:
```
data_Rb2InIrO6
_chemical_formula_sum 'Rb8 In4 Ir4 O24'
_symmetry_space_group_name_H-M 'F m -3 m'
_symmetry_Int_Tables_number 225
_symmetry_space_group_name_Hall '-F 4 2 3'
_cell_length_a 8.171
_cell_length_b 8.171
_cell_length_c 8.171
_cell_angle_alpha 90.00
_cell_angle_beta 90.00
_cell_angle_gamma 90.00
loop_
_atom_site_label
_atom_site_fract_x
_atom_site_fract_y
_atom_site_fract_z
_atom_site_occupancy
Rb1 0.250 0.250 0.250 1
In1 0.000 0.000 0.000 1
Ir1 0.000 0.000 0.500 1
O1 0.000 0.000 0.265 1
```



## Tc4As2Cl (PBE)

Data for a relaxed structure of Tc4As2Cl.

uncorrected energy = -51.2 eV per formula unit

The structure in CIF format:
```
data_Tc4As2Cl
_chemical_formula_sum 'Tc8 As4 Cl2'
_symmetry_space_group_name_H-M 'C m m m'
_symmetry_Int_Tables_number 65
_symmetry_space_group_name_Hall '-C 2 2'
_cell_length_a 6.165
_cell_length_b 9.951
_cell_length_c 3.844
_cell_angle_alpha 90.00
_cell_angle_beta 90.00
_cell_angle_gamma 90.00
loop_
_atom_site_label
_atom_site_fract_x
_atom_site_fract_y
_atom_site_fract_z
_atom_site_occupancy
Tc1 0.000 0.127 0.000 1
Tc2 0.217 0.000 0.500 1
As1 0.250 0.250 0.500 1
Cl1 0.000 0.500 0.000 1
```



## CdTeOs (PBE)

Data for a relaxed structure of CdTeOs.

uncorrected energy = -13.6 eV per formula unit

The structure in CIF format:
```
data_CdTeOs
_chemical_formula_sum 'Cd4 Te4 Os4'
_symmetry_space_group_name_H-M 'F -4 3 m'
_symmetry_Int_Tables_number 216
_symmetry_space_group_name_Hall 'F -4 2 3'
_cell_length_a 6.405
_cell_length_b 6.405
_cell_length_c 6.405
_cell_angle_alpha 90.00
_cell_angle_beta 90.00
_cell_angle_gamma 90.00
loop_
_atom_site_label
_atom_site_fract_x
_atom_site_fract_y
_atom_site_fract_z
_atom_site_occupancy
Cd1 0.000 0.000 0.000 1
Te1 0.000 0.000 0.500 1
Os1 0.250 0.250 0.250 1
```



## ZnF (PBE)

Data for a relaxed structure of ZnF.

uncorrected energy = -5.4 eV per formula unit

The structure in CIF format:
```
data_ZnF
_chemical_formula_sum 'Zn4 F4'
_symmetry_space_group_name_H-M 'F -4 3 m'
_symmetry_Int_Tables_number 216
_symmetry_space_group_name_Hall 'F -4 2 3'
_cell_length_a 4.962
_cell_length_b 4.962
_cell_length_c 4.962
_cell_angle_alpha 90.00
_cell_angle_beta 90.00
_cell_angle_gamma 90.00
loop_
_atom_site_label
_atom_site_fract_x
_atom_site_fract_y
_atom_site_fract_z
_atom_site_occupancy
Zn1 0.000 0.000 0.000 1
F1 0.250 0.250 0.250 1
```



## LiLuCuSn (PBE)

Data for a relaxed structure of LiLuCuSn.

uncorrected energy = -14.8 eV per formula unit

The structure in CIF format:
```
data_LiLuCuSn
_chemical_formula_sum 'Li4 Lu4 Cu4 Sn4'
_symmetry_space_group_name_H-M 'F -4 3 m'
_symmetry_Int_Tables_number 216
_symmetry_space_group_name_Hall 'F -4 2 3'
_cell_length_a 6.727
_cell_length_b 6.727
_cell_length_c 6.727
_cell_angle_alpha 90.00
_cell_angle_beta 90.00
_cell_angle_gamma 90.00
loop_
_atom_site_label
_atom_site_fract_x
_atom_site_fract_y
_atom_site_fract_z
_atom_site_occupancy
Li1 0.000 0.000 0.000 1
Lu1 0.250 0.250 0.250 1
Cu1 0.250 0.250 0.750 1
Sn1 0.000 0.000 0.500 1
```



## Li7ErO6 (PBE)

Data for a relaxed structure of Li7ErO6.

uncorrected energy = -74.0 eV per formula unit

The structure in CIF format:
```
data_Li7ErO6
_chemical_formula_sum 'Li21 Er3 O18'
_symmetry_space_group_name_H-M 'R 3'
_symmetry_Int_Tables_number 146
_symmetry_space_group_name_Hall 'R 3'
_cell_length_a 5.6279
_cell_length_b 5.6279
_cell_length_c 15.4241
_cell_angle_alpha 90.00
_cell_angle_beta 90.00
_cell_angle_gamma 120.00
loop_
_atom_site_label
_atom_site_fract_x
_atom_site_fract_y
_atom_site_fract_z
_atom_site_occupancy
Li1 0.0000 0.0000 0.0000 1
Li2 0.0059 0.2874 0.5647 1
Li3 0.0139 0.6301 0.4664 1
Er1 0.0000 0.0000 0.3484 1
O1 0.0007 0.6306 0.5961 1
O2 0.0380 0.3532 0.1045 1
```



## YHoGa2Co4 (PBE)

Data for a relaxed structure of YHoGa2Co4.

uncorrected energy = -47.8 eV per formula unit

The structure in CIF format:
```
data_YHoGa2Co4
_chemical_formula_sum 'Y1 Ho1 Ga2 Co4'
_symmetry_space_group_name_H-M 'P -6 m 2'
_symmetry_Int_Tables_number 187
_symmetry_space_group_name_Hall 'P -6 2'
_cell_length_a 4.1285
_cell_length_b 4.1285
_cell_length_c 9.0876
_cell_angle_alpha 90.00
_cell_angle_beta 90.00
_cell_angle_gamma 120.00
loop_
_atom_site_label
_atom_site_fract_x
_atom_site_fract_y
_atom_site_fract_z
_atom_site_occupancy
Y1 0.0000 0.0000 0.0000 1
Ho1 0.6667 0.3333 0.5000 1
Ga1 0.3333 0.6667 0.2507 1
Co1 0.0000 0.0000 0.2965 1
Co2 0.6667 0.3333 0.2116 1
```